Entry 1:
Material: LaTa2Rh
Method: DFT, PBEsol
State: relaxed

Unit cell a=3.1409 b=3.1409 c=8.0757 alpha=90.00 beta=90.00 gamma=90.00
Closest atoms and distances in Å follow each position.
Atoms (fractional coordinates):
La  0.0000  0.0000  0.0000  4 La 3.14, 4 Rh 3.23, 4 Ta 3.32
Ta  0.0000  0.0000  0.4648  4 Rh 2.63, 4 Ta 2.89
Ta  0.5000  0.5000  0.6940  8 Ta 2.89-3.14
Rh  0.5000  0.5000  0.2904  4 Ta 2.63

Results
Its density of states at the Fermi level is 4.04 states/eV/cell. The formation enthalpy at 0 K is -0.18 eV per formula unit. Its offset from the most stable computed form is 0 meV per atom. As for the final energy: -9.6928 eV/atom.

Entry 2:
Material: Cr2CoNi
Method: DFT, PBEsol
State: relaxed

Unit cell a=2.4202 b=3.5929 c=4.8370 alpha=90.00 beta=90.00 gamma=90.00
Closest atoms and distances in Å follow each position.
Atoms (fractional coordinates):
Cr  0.0000  0.0000  0.2431  4 Cr 2.35-2.49, 4 Co 2.46, 4 Ni 2.50
Cr  0.0000  0.0000  0.7569  4 Cr 2.35-2.49, 4 Co 2.46, 4 Ni 2.50
Co  0.5000  0.5000  0.0000  2 Ni 2.42, 2 Co 2.42, 8 Cr 2.46
Ni  0.5000  0.5000  0.5000  2 Co 2.42, 2 Ni 2.42, 8 Cr 2.50

Results
Its density of states at the Fermi level is 3.85 states/eV/cell. The formation enthalpy at 0 K is 0.07 eV per formula unit. Its offset from the most stable computed form is 8 meV per atom. As for the final energy: -8.5779 eV/atom.

Entry 3:
Material: IrRu2Rh
Method: DFT, PBEsol
State: relaxed

Unit cell a=4.6422 b=4.6422 c=2.6676 alpha=90.00 beta=90.00 gamma=109.87
Closest atoms and distances in Å follow each position.
Atoms (fractional coordinates):
Ir  0.0000  0.0000  0.0000  2 Rh 2.67, 2 Ir 2.67, 8 Ru 2.68
Ru  0.0000  0.5000  0.5000  4 Ru 2.67, 4 Rh 2.68, 4 Ir 2.68
Ru  0.5000  0.0000  0.5000  4 Ru 2.67, 4 Rh 2.68, 4 Ir 2.68
Rh  0.5000  0.5000  0.0000  2 Ir 2.67, 2 Rh 2.67, 8 Ru 2.68

Results
Its density of states at the Fermi level is 3.67 states/eV/cell. The formation enthalpy at 0 K is 0.04 eV per formula unit. Its offset from the most stable computed form is 0 meV per atom. As for the final energy: -9.5673 eV/atom.

Entry 4:
Material: BaHfSb3
Method: DFT, PBEsol
State: relaxed

Unit cell a=5.4945 b=5.4945 c=5.4945 alpha=90.00 beta=90.00 gamma=90.00
Closest atoms and distances in Å follow each position.
Atoms (fractional coordinates):
Ba  0.0000  0.0000  0.0000  12 Sb 3.89
Hf  0.5000  0.5000  0.5000  6 Sb 2.75
Sb  0.0000  0.5000  0.5000  2 Hf 2.75
Sb  0.5000  0.0000  0.5000  2 Hf 2.75
Sb  0.5000  0.5000  0.0000  2 Hf 2.75

Results
Its density of states at the Fermi level is 3.43 states/eV/cell. Its uncorrected formation energy is -210 kJ/mol of formula units. As for the final energy: -5.6999 eV/atom.

- The highest final energy belongs to which entry?
  BaHfSb3